This record from Alexandria via LeMat-Bulk describes a relaxed structure of KHgF3. The functional is PBE.

a b c (Å): 3.668 7.363 6.337
angles (deg): 90.00 90.00 90.00
Space group Pmc2_1 (No. 26)
Inequivalent atoms, fractional coordinates:
K 0.000 0.102 0.000 [2 per cell]
Hg 0.500 0.424 0.573 [2 per cell]
F 0.000 0.437 0.865 [2 per cell]
F 0.500 0.134 0.668 [2 per cell]
F 0.500 0.293 0.219 [2 per cell]

Results
calculated volume = 85.6 Å³/f.u.
raw formation energy = -1.9581 eV/atom

---

This record from Alexandria via LeMat-Bulk describes a relaxed structure of KHg5F11. The functional is PBE.

a b c (Å): 9.844 11.158 6.129
angles (deg): 90.00 114.21 90.00
Space group C2/m (No. 12)
Inequivalent atoms, fractional coordinates:
K 0.000 0.000 0.000 [2 per cell]
Hg 0.000 0.500 0.000 [2 per cell]
Hg 0.180 0.184 0.694 [8 per cell]
F 0.000 0.000 0.500 [2 per cell]
F 0.084 0.225 0.320 [8 per cell]
F 0.164 0.500 0.341 [4 per cell]
F 0.222 0.373 0.942 [8 per cell]

Results
calculated volume = 307.0 Å³/f.u.
raw formation energy = -1.5473 eV/atom

---

This record from Alexandria via LeMat-Bulk describes a relaxed structure of KHgF3. The functional is PBE.

a b c (Å): 9.610 10.389 6.934
angles (deg): 90.00 93.25 90.00
Space group C2/c (No. 15)
Inequivalent atoms, fractional coordinates:
K 0.196 0.059 0.344 [8 per cell]
Hg 0.000 0.250 0.750 [4 per cell]
Hg 0.000 0.370 0.250 [4 per cell]
F 0.037 0.142 0.020 [8 per cell]
F 0.101 0.421 0.913 [8 per cell]
F 0.218 0.331 0.319 [8 per cell]

Results
calculated volume = 86.4 Å³/f.u.
raw formation energy = -1.9492 eV/atom

---

This record from Alexandria via LeMat-Bulk describes a relaxed structure of KHg6F12. The functional is PBE.

a b c (Å): 12.1934 12.1934 7.2264
angles (deg): 90.00 90.00 120.00
Space group R-3m (No. 166, hexagonal axes)
Inequivalent atoms, fractional coordinates:
K 0.0000 0.0000 0.0000 [3 per cell]
Hg 0.0441 0.5220 0.2497 [18 per cell]
F 0.0000 0.3880 0.5000 [18 per cell]
F 0.0922 0.1843 0.3124 [18 per cell]

Results
calculated volume = 310.2 Å³/f.u.
raw formation energy = -1.4391 eV/atom

---

This record from Alexandria via LeMat-Bulk describes a relaxed structure of K3HgF5. The functional is PBE.

a b c (Å): 7.230 7.230 13.522
angles (deg): 90.00 90.00 90.00
Space group I4/mcm (No. 140)
Inequivalent atoms, fractional coordinates:
K 0.000 0.000 0.250 [4 per cell]
K 0.174 0.326 0.000 [8 per cell]
Hg 0.000 0.500 0.250 [4 per cell]
F 0.000 0.000 0.000 [4 per cell]
F 0.164 0.336 0.355 [16 per cell]

Results
calculated volume = 176.7 Å³/f.u.
raw formation energy = -2.2404 eV/atom

---

This record from Alexandria via LeMat-Bulk describes a relaxed structure of K6HgF8. The functional is PBE.

a b c (Å): 7.8582 7.8582 16.0358
angles (deg): 90.00 90.00 120.00
Space group R-3 (No. 148, hexagonal axes)
Inequivalent atoms, fractional coordinates:
K 0.0207 0.6133 0.4171 [18 per cell]
Hg 0.0000 0.0000 0.5000 [3 per cell]
F 0.0000 0.0000 0.1625 [6 per cell]
F 0.0127 0.7606 0.5852 [18 per cell]

Results
calculated volume = 285.9 Å³/f.u.
raw formation energy = -2.4486 eV/atom

---

This record from Alexandria via LeMat-Bulk describes a relaxed structure of KHg3F9. The functional is PBE.

a b c (Å): 8.2967 8.2967 4.3676
angles (deg): 90.00 90.00 120.00
Space group P6/mmm (No. 191)
Inequivalent atoms, fractional coordinates:
K 0.0000 0.0000 0.0000 [1 per cell]
Hg 0.0000 0.5000 0.5000 [3 per cell]
F 0.0000 0.5000 0.0000 [3 per cell]
F 0.1924 0.3847 0.5000 [6 per cell]

Results
calculated volume = 260.4 Å³/f.u.
raw formation energy = -1.4433 eV/atom

---

This record from Alexandria via LeMat-Bulk describes a relaxed structure of KHgF3. The functional is PBE.

a b c (Å): 4.2540 4.2540 13.0367
angles (deg): 90.00 90.00 120.00
Space group P6_3/mmc (No. 194)
Inequivalent atoms, fractional coordinates:
K 0.0000 0.0000 0.0000 [2 per cell]
Hg 0.3333 0.6667 0.2500 [2 per cell]
F 0.0000 0.0000 0.2500 [2 per cell]
F 0.3333 0.6667 0.0880 [4 per cell]

Results
calculated volume = 102.2 Å³/f.u.
raw formation energy = -2.0129 eV/atom

---

This record from Alexandria via LeMat-Bulk describes a relaxed structure of K2HgF4. The functional is PBE.

a b c (Å): 6.941 6.461 7.312
angles (deg): 90.00 107.58 90.00
Space group P2_1/m (No. 11)
Inequivalent atoms, fractional coordinates:
K 0.149 0.250 0.035 [2 per cell]
K 0.222 0.250 0.546 [2 per cell]
Hg 0.310 0.750 0.817 [2 per cell]
F 0.050 0.526 0.754 [4 per cell]
F 0.461 0.250 0.897 [2 per cell]
F 0.467 0.250 0.339 [2 per cell]

Results
calculated volume = 156.3 Å³/f.u.
raw formation energy = -2.1459 eV/atom

---

This record from Alexandria via LeMat-Bulk describes a relaxed structure of K2LaHgF8. The functional is PBE.

a b c (Å): 4.123 6.222 8.258
angles (deg): 85.56 89.24 86.29
Space group P-1 (No. 2)
Inequivalent atoms, fractional coordinates:
K 0.002 0.002 0.252 [2 per cell]
La 0.500 0.500 0.000 [1 per cell]
Hg 0.500 0.500 0.500 [1 per cell]
F 0.002 0.287 0.974 [2 per cell]
F 0.081 0.707 0.517 [2 per cell]
F 0.457 0.309 0.726 [2 per cell]
F 0.474 0.264 0.229 [2 per cell]

Results
calculated volume = 210.8 Å³/f.u.
raw formation energy = -2.7157 eV/atom

---

This record from Alexandria via LeMat-Bulk describes a relaxed structure of KLiHgF6. The functional is PBE.

a b c (Å): 5.5326 5.5326 5.7877
angles (deg): 90.00 90.00 120.00
Space group P312 (No. 149)
Inequivalent atoms, fractional coordinates:
K 0.0000 0.0000 0.0000 [1 per cell]
Li 0.3333 0.6667 0.5000 [1 per cell]
Hg 0.6667 0.3333 0.5000 [1 per cell]
F 0.0076 0.3741 0.7004 [6 per cell]

Results
calculated volume = 153.4 Å³/f.u.
raw formation energy = -1.8181 eV/atom

---

This record from Alexandria via LeMat-Bulk describes a relaxed structure of K3LiHg2F8. The functional is PBE.

a b c (Å): 5.9807 5.9807 8.1054
angles (deg): 90.00 90.00 120.00
Space group P-3m1 (No. 164)
Inequivalent atoms, fractional coordinates:
K 0.0000 0.0000 0.0000 [1 per cell]
K 0.3333 0.6667 0.6047 [2 per cell]
Li 0.0000 0.0000 0.5000 [1 per cell]
Hg 0.3333 0.6667 0.1817 [2 per cell]
F 0.1587 0.3175 0.3413 [6 per cell]
F 0.3333 0.6667 0.9207 [2 per cell]

Results
calculated volume = 251.1 Å³/f.u.
raw formation energy = -2.1404 eV/atom